(1)
The following is a PBE calculation of a geometry-optimized SrAsSeO2 structure, from the Alexandria database. Values from VASP.

* D(E_F): 0.412 states/eV per atom
* symmetry: Cmcm, No. 63

Geometry as Quantum ESPRESSO input:
```
&SYSTEM
  ibrav = 0, nat = 10, ntyp = 4
/
ATOMIC_SPECIES
Se 78.96 Se.upf
As 74.92 As.upf
O 16.00 O.upf
Sr 87.62 Sr.upf
CELL_PARAMETERS angstrom
-1.9822 -1.2275 4.6016
0.1452 -5.2490 -1.3377
6.6250 2.1096 3.4166
ATOMIC_POSITIONS crystal
Se 0.2500 0.2499 0.4998
Se 0.7500 0.7501 0.5002
As 0.7500 0.0560 0.1119
As 0.2500 0.9440 0.8881
O 0.0000 0.7763 0.0000
O 0.0000 0.2237 0.0000
O 0.5000 0.2237 0.0000
O 0.5000 0.7763 0.0000
Sr 0.7500 0.3901 0.7802
Sr 0.2500 0.6099 0.2198
```

(2)
The following is a PBE calculation of a geometry-optimized SrAs2SeO structure, from the Alexandria database. Values from VASP.

* D(E_F): 0.611 states/eV per atom
* symmetry: P4/mmm, No. 123

Geometry as Quantum ESPRESSO input:
```
&SYSTEM
  ibrav = 0, nat = 5, ntyp = 4
/
ATOMIC_SPECIES
Sr 87.62 Sr.upf
Se 78.96 Se.upf
As 74.92 As.upf
O 16.00 O.upf
CELL_PARAMETERS angstrom
-0.6135 -1.3135 -4.1818
-3.6364 -2.2050 1.2260
-2.8712 4.2305 -0.9076
ATOMIC_POSITIONS crystal
Sr 0.5000 0.5000 0.5000
Se 0.0000 0.0000 0.5000
As 0.5000 0.0000 0.0000
As 0.0000 0.5000 0.0000
O 0.0000 0.0000 0.0000
```

(3)
The following is a PBE calculation of a geometry-optimized Sr5As2SeO structure, from the Alexandria database. Values from VASP.

* symmetry: Cmc2_1, No. 36

Geometry as Quantum ESPRESSO input:
```
&SYSTEM
  ibrav = 0, nat = 18, ntyp = 4
/
ATOMIC_SPECIES
As 74.92 As.upf
Sr 87.62 Sr.upf
Se 78.96 Se.upf
O 16.00 O.upf
CELL_PARAMETERS angstrom
-2.0509 -3.3712 -2.1528
6.5766 -4.2527 5.0871
-8.4105 -1.1910 9.8774
ATOMIC_POSITIONS crystal
As 0.8930 0.7860 0.1898
As 0.8606 0.7211 0.8327
As 0.1394 0.2789 0.3327
As 0.1070 0.2140 0.6898
Sr 0.6458 0.2917 0.5084
Sr 0.9820 0.9640 0.4999
Sr 0.0180 0.0360 0.9999
Sr 0.4839 0.9679 0.7690
Sr 0.5161 0.0321 0.2690
Sr 0.3542 0.7083 0.0084
Sr 0.6615 0.3230 0.8696
Sr 0.3385 0.6770 0.3696
Sr 0.7142 0.4284 0.1913
Sr 0.2858 0.5716 0.6913
Se 0.1883 0.3765 0.0277
Se 0.8117 0.6235 0.5277
O 0.5318 0.0636 0.9355
O 0.4682 0.9364 0.4355
```

Raw formation energy for every record listed, in sequence, given in eV/atom: -1.490; -0.393; -1.652.